Compound: NdV2PO8
Source: the Alexandria database
Functional: PBE+U
Structure: relaxed

Unit cell a=4.9216 b=4.9216 c=6.1308 alpha=90.00 beta=90.00 gamma=120.00
Last column: nearest neighbours and their distance in Å.
Element x y z (fractional)
O (0.1628, 0.8372, 0.1554)  1 P 1.68
V (0.6667, 0.3333, 0.1059)  1 O 1.72
O (0.6744, 0.8372, 0.1554)  1 P 1.68
O (0.8372, 0.6744, 0.8446)  1 P 1.68
V (0.3333, 0.6667, 0.8941)  1 O 1.72
O (0.3333, 0.6667, 0.6138)  1 V 1.72
O (0.8372, 0.1628, 0.8446)  1 P 1.68
O (0.3256, 0.1628, 0.8446)  1 P 1.68
O (0.6667, 0.3333, 0.3862)  1 V 1.72
O (0.1628, 0.3256, 0.1554)  1 P 1.68
P (0.0000, 0.0000, 0.0000)  6 O 1.68
Nd (0.0000, 0.0000, 0.5000)  6 O 2.53

## Properties
E_tot in eV/atom: -7.29
Symmetry: P-3m1